#A
DFT (PBE) results for an optimized crystal structure of Ba2CdHg2.

Cell and atoms, written as POSCAR:
```
Ba2CdHg2
1.0
-0.439 -7.883 4.064
4.712 -3.655 -6.579
3.904 0.952 2.268
Cd Hg Ba
2 4 4
direct
0.000 0.000 0.000 Cd
0.500 0.500 0.000 Cd
0.373 0.873 0.000 Hg
0.873 0.627 0.000 Hg
0.627 0.127 0.000 Hg
0.127 0.373 0.000 Hg
0.174 0.674 0.500 Ba
0.674 0.826 0.500 Ba
0.826 0.326 0.500 Ba
0.326 0.174 0.500 Ba
```

Computed properties:
Symmetry: P4/mbm

#B
DFT (PBE) results for an optimized crystal structure of Ba2CdHg2.

Cell and atoms, written as POSCAR:
```
Ba2CdHg2
1.0
-0.299 -9.373 -1.948
5.964 -1.707 7.297
-3.342 -0.440 2.629
Cd Hg Ba
2 4 4
direct
0.000 0.000 0.000 Cd
0.500 0.500 0.000 Cd
0.135 0.635 0.500 Hg
0.635 0.865 0.500 Hg
0.865 0.365 0.500 Hg
0.365 0.135 0.500 Hg
0.341 0.841 0.000 Ba
0.841 0.659 0.000 Ba
0.659 0.159 0.000 Ba
0.159 0.341 0.000 Ba
```

Computed properties:
Symmetry: P4/mbm

Which one is the least stable? From the structures above, #B.